# 1
Material: Dy6SnGe2Se3
Method: DFT, PBE
State: optimized geometry

Cell lengths 4.1487, 8.4069, 9.3489 Å; angles 103.18, 102.82, 90.00 degrees
Element x y z (fractional)
Dy 0.3300 0.9036 0.6600
Dy 0.6710 0.5755 0.3419
Dy 0.6700 0.0964 0.3400
Dy 0.0037 0.2599 0.0074
Dy 0.9963 0.7401 0.9926
Dy 0.3290 0.4245 0.6581
Sn 0.5000 0.0000 0.0000
Ge 0.8333 0.6660 0.6666
Ge 0.1667 0.3340 0.3334
Se 0.5000 0.5000 0.0000
Se 0.8342 0.1680 0.6683
Se 0.1658 0.8320 0.3317

Results
density of states at the Fermi level	3.124	states/eV per cell
energy relative to the elements, uncorrected	-1.325	eV per atom
theoretical density	7.928	g/cm3
volume	309	Å³/f.u.
energy	-0.20579	hartree per atom

=====

# 2
Material: Sr2DyGeSe5
Method: DFT, PBE
State: optimized geometry

Cell lengths 4.3355, 9.5188, 12.5781 Å; angles 90.00, 90.00, 103.16 degrees
Element x y z (fractional)
Sr 0.8771 0.7542 0.8205
Sr 0.1174 0.2348 0.6818
Sr 0.1229 0.2458 0.3205
Sr 0.8826 0.7652 0.1818
Dy 0.7911 0.5821 0.5245
Dy 0.2089 0.4179 0.0245
Ge 0.5562 0.1124 0.9429
Ge 0.4438 0.8876 0.4429
Se 0.3576 0.7152 0.0036
Se 0.6833 0.3666 0.8680
Se 0.4993 0.9986 0.7682
Se 0.2922 0.5843 0.6733
Se 0.9536 0.9071 0.5412
Se 0.6424 0.2848 0.5036
Se 0.3167 0.6334 0.3680
Se 0.5007 0.0014 0.2682
Se 0.7078 0.4157 0.1733
Se 0.0464 0.0929 0.0412

Results
density of states at the Fermi level	2.395	states/eV per cell
energy relative to the elements, uncorrected	-1.496	eV per atom
theoretical density	5.291	g/cm3
volume	253	Å³/f.u.
energy	-0.17748	hartree per atom

=====

# 3
Material: TbDyGeSe
Method: DFT, PBE
State: optimized geometry

Cell lengths 4.1354, 4.1354, 7.2103 Å; angles 73.34, 73.34, 60.00 degrees
Element x y z (fractional)
Tb 0.4482 0.4482 0.6553
Dy 0.9401 0.9401 0.1798
Ge 0.1945 0.1945 0.4165
Se 0.6936 0.6936 0.9191

Results
density of states at the Fermi level	1.121	states/eV per cell
energy relative to the elements, uncorrected	-1.392	eV per atom
theoretical density	7.795	g/cm3
volume	101	Å³/f.u.
energy	-0.21042	hartree per atom

=====

# 4
Material: Dy6GeTe3Se2
Method: DFT, PBE
State: optimized geometry

Cell lengths 7.2596, 7.2596, 7.4746 Å; angles 99.29, 99.29, 119.95 degrees
Element x y z (fractional)
Dy 0.9280 0.6022 0.7826
Dy 0.7480 0.7480 0.2190
Dy 0.0720 0.3978 0.2174
Dy 0.6022 0.9280 0.7826
Dy 0.2520 0.2520 0.7810
Dy 0.3978 0.0720 0.2174
Ge 0.0000 0.0000 0.0000
Te 0.1690 0.8310 0.5000
Te 0.8310 0.1690 0.5000
Te 0.5000 0.5000 0.5000
Se 0.3338 0.6662 0.0000
Se 0.6662 0.3338 0.0000

Results
density of states at the Fermi level	4.975	states/eV per cell
energy relative to the elements, uncorrected	-1.458	eV per atom
theoretical density	8.164	g/cm3
volume	323	Å³/f.u.
energy	-0.20248	hartree per atom

=====

# 5
Material: Dy8Ge3Te4Se
Method: DFT, PBE
State: optimized geometry

Cell lengths 8.4570, 8.5804, 8.4575 Å; angles 119.53, 120.00, 90.00 degrees
Element x y z (fractional)
Dy 0.2443 0.7210 0.9766
Dy 0.2444 0.7211 0.4889
Dy 0.2596 0.2788 0.5192
Dy 0.7323 0.7210 0.9766
Dy 0.2677 0.2790 0.0234
Dy 0.7404 0.7212 0.4808
Dy 0.7556 0.2789 0.5111
Dy 0.7557 0.2790 0.0234
Ge 0.5000 0.5000 0.0000
Ge 0.5000 0.5000 0.5000
Ge 0.0000 0.5000 0.5000
Te 0.5000 0.0000 0.0000
Te 0.5000 0.0000 0.5000
Te 0.0000 0.0000 0.0000
Te 0.0000 0.0000 0.5000
Se 0.0000 0.5000 0.0000

Results
density of states at the Fermi level	3.330	states/eV per cell
energy relative to the elements, uncorrected	-1.316	eV per atom
theoretical density	8.007	g/cm3
volume	437	Å³/f.u.
energy	-0.20159	hartree per atom

=====

# 6
Material: Dy4GeTeSe2
Method: DFT, PBE
State: optimized geometry

Cell lengths 4.1668, 7.1711, 7.3370 Å; angles 70.58, 90.00, 90.00 degrees
Element x y z (fractional)
Dy 0.0000 0.7580 0.7244
Dy 0.0000 0.2420 0.2756
Dy 0.5000 0.7442 0.2690
Dy 0.5000 0.2558 0.7310
Ge 0.0000 0.5000 0.5000
Te 0.5000 0.5000 0.0000
Se 0.0000 0.0000 0.0000
Se 0.5000 0.0000 0.5000

Results
density of states at the Fermi level	2.519	states/eV per cell
energy relative to the elements, uncorrected	-1.485	eV per atom
theoretical density	8.097	g/cm3
volume	207	Å³/f.u.
energy	-0.20679	hartree per atom

=====

# 7
Material: Dy4GeTe2Se
Method: DFT, PBE
State: optimized geometry

Cell lengths 4.2142, 7.4809, 7.2724 Å; angles 70.88, 90.00, 90.00 degrees
Element x y z (fractional)
Dy 0.0000 0.7193 0.7523
Dy 0.0000 0.2807 0.2477
Dy 0.5000 0.7195 0.2672
Dy 0.5000 0.2805 0.7328
Ge 0.0000 0.5000 0.5000
Te 0.0000 0.0000 0.0000
Te 0.5000 0.0000 0.5000
Se 0.5000 0.5000 0.0000

Results
density of states at the Fermi level	3.003	states/eV per cell
energy relative to the elements, uncorrected	-1.405	eV per atom
theoretical density	8.101	g/cm3
volume	217	Å³/f.u.
energy	-0.20226	hartree per atom

=====

# 8
Material: Dy8GeTe3Se3
Method: DFT, PBE
State: optimized geometry

Cell lengths 8.3011, 8.3011, 8.4808 Å; angles 119.30, 90.00, 120.00 degrees
Element x y z (fractional)
Dy 0.2614 0.5229 0.2843
Dy 0.7386 0.4771 0.7157
Dy 0.7601 0.5202 0.2773
Dy 0.2399 0.4798 0.7227
Dy 0.7601 0.0172 0.2773
Dy 0.2399 0.9828 0.7227
Dy 0.2570 0.0172 0.2773
Dy 0.7430 0.9828 0.7227
Ge 0.0000 0.0000 0.5000
Te 0.0000 0.0000 0.0000
Te 0.0000 0.5000 0.0000
Te 0.5000 0.5000 0.0000
Se 0.5000 0.0000 0.5000
Se 0.5000 0.5000 0.5000
Se 0.0000 0.5000 0.5000

Results
density of states at the Fermi level	6.411	states/eV per cell
energy relative to the elements, uncorrected	-1.345	eV per atom
theoretical density	7.924	g/cm3
volume	418	Å³/f.u.
energy	-0.19965	hartree per atom

=====

# 9
Material: Dy6Ge2TeSe3
Method: DFT, PBE
State: optimized geometry

Cell lengths 4.1602, 8.3658, 9.2827 Å; angles 102.30, 102.95, 90.00 degrees
Element x y z (fractional)
Dy 0.3268 0.8960 0.6536
Dy 0.6700 0.5770 0.3400
Dy 0.6732 0.1040 0.3464
Dy 0.0070 0.2708 0.0140
Dy 0.9930 0.7292 0.9860
Dy 0.3300 0.4230 0.6600
Ge 0.8328 0.6651 0.6655
Ge 0.1672 0.3349 0.3345
Te 0.5000 0.0000 0.0000
Se 0.5000 0.5000 0.0000
Se 0.8373 0.1640 0.6745
Se 0.1627 0.8360 0.3255

Results
density of states at the Fermi level	3.962	states/eV per cell
energy relative to the elements, uncorrected	-1.465	eV per atom
theoretical density	8.025	g/cm3
volume	307	Å³/f.u.
energy	-0.20830	hartree per atom

=====

# 10
Material: Dy2Tl3GeSe6
Method: DFT, PBE
State: optimized geometry

Cell lengths 4.1272, 8.9877, 9.9116 Å; angles 108.67, 102.02, 90.00 degrees
Element x y z (fractional)
Dy 0.8349 0.6662 0.6698
Dy 0.1651 0.3338 0.3302
Tl 0.5000 0.5000 0.0000
Tl 0.8317 0.1591 0.6634
Tl 0.1683 0.8409 0.3366
Ge 0.5000 0.0000 0.0000
Se 0.3473 0.8937 0.6945
Se 0.6769 0.5632 0.3539
Se 0.6527 0.1063 0.3055
Se 0.0075 0.2196 0.0150
Se 0.9925 0.7804 0.9850
Se 0.3231 0.4368 0.6461

Results
density of states at the Fermi level	4.864	states/eV per cell
energy relative to the elements, uncorrected	-0.987	eV per atom
theoretical density	7.255	g/cm3
volume	340	Å³/f.u.
energy	-0.16435	hartree per atom

=====

# 11
Material: DyTlGeSe3
Method: DFT, PBE
State: optimized geometry

Cell lengths 4.0271, 9.4657, 9.6787 Å; angles 104.09, 90.00, 90.00 degrees
Element x y z (fractional)
Dy 0.2500 0.6412 0.1649
Dy 0.7500 0.3588 0.8351
Tl 0.7500 0.8058 0.7855
Tl 0.2500 0.1942 0.2145
Ge 0.2500 0.1210 0.5472
Ge 0.7500 0.8790 0.4528
Se 0.2500 0.7019 0.4688
Se 0.7500 0.8639 0.1896
Se 0.7500 0.4227 0.1410
Se 0.7500 0.2981 0.5312
Se 0.2500 0.5773 0.8590
Se 0.2500 0.1361 0.8104

Results
energy relative to the elements, uncorrected	-0.984	eV per atom
theoretical density	6.278	g/cm3
volume	179	Å³/f.u.
energy	-0.17117	hartree per atom

=====

# 12
Material: DyTmGeSe
Method: DFT, PBE
State: optimized geometry

Cell lengths 4.1014, 4.1014, 7.1446 Å; angles 73.32, 73.32, 60.00 degrees
Element x y z (fractional)
Dy 0.6894 0.6894 0.9317
Tm 0.1986 0.1986 0.4042
Ge 0.9430 0.9430 0.1711
Se 0.4454 0.4454 0.6638

Results
density of states at the Fermi level	0.972	states/eV per cell
energy relative to the elements, uncorrected	-1.365	eV per atom
theoretical density	8.168	g/cm3
volume	98	Å³/f.u.
energy	-0.20797	hartree per atom

=====

# 13
Material: Dy10Si3Ge3
Method: DFT, PBE
State: optimized geometry

Cell lengths 6.3964, 8.4762, 8.4762 Å; angles 120.00, 90.00, 90.00 degrees
Element x y z (fractional)
Dy 0.2524 0.6667 0.3333
Dy 0.2524 0.3333 0.6667
Dy 0.7476 0.3333 0.6667
Dy 0.7476 0.6667 0.3333
Dy 0.5000 0.0000 0.7579
Dy 0.5000 0.7579 0.0000
Dy 0.5000 0.2421 0.2421
Dy 0.0000 0.0000 0.2424
Dy 0.0000 0.2424 0.0000
Dy 0.0000 0.7576 0.7576
Si 0.5000 0.0000 0.3943
Si 0.5000 0.3943 0.0000
Si 0.5000 0.6057 0.6057
Ge 0.0000 0.0000 0.6057
Ge 0.0000 0.6057 0.0000
Ge 0.0000 0.3943 0.3943

Results
density of states at the Fermi level	10.334	states/eV per cell
energy relative to the elements, uncorrected	-0.742	eV per atom
theoretical density	8.041	g/cm3
volume	398	Å³/f.u.
energy	-0.20214	hartree per atom

=====

# 14
Material: Dy3SiGe
Method: DFT, PBE
State: optimized geometry

Cell lengths 3.9205, 7.9923, 8.1788 Å; angles 93.09, 90.01, 104.19 degrees
Element x y z (fractional)
Dy 0.0692 0.1718 0.3940
Dy 0.4257 0.8855 0.6359
Dy 0.6182 0.2686 0.7857
Dy 0.9748 0.9823 0.0275
Dy 0.2593 0.5517 0.0320
Dy 0.7847 0.6024 0.3895
Si 0.4126 0.8582 0.2768
Si 0.6314 0.2959 0.1448
Ge 0.2271 0.4873 0.6352
Ge 0.8169 0.6668 0.7864

Results
density of states at the Fermi level	10.781	states/eV per cell
energy relative to the elements, uncorrected	-0.565	eV per atom
theoretical density	7.875	g/cm3
volume	124	Å³/f.u.
energy	-0.19604	hartree per atom

=====

# 15
Material: Dy8SiGe5
Method: DFT, PBE
State: optimized geometry

Cell lengths 7.6471, 7.6471, 7.6471 Å; angles 109.46, 109.50, 109.46 degrees
Element x y z (fractional)
Dy 0.1254 0.7491 0.0056
Dy 0.9944 0.1198 0.7435
Dy 0.7584 0.2505 0.3762
Dy 0.6238 0.3822 0.8743
Dy 0.4921 0.6178 0.2416
Dy 0.6237 0.8802 0.8746
Dy 0.2565 0.2509 0.3763
Dy 0.1257 0.7495 0.5079
Si 0.2500 0.5000 0.7500
Ge 0.9995 0.3750 0.1247
Ge 0.8753 0.8748 0.2502
Ge 0.7498 0.6250 0.6245
Ge 0.5000 0.0000 0.5000
Ge 0.3755 0.1252 0.0005

Results
density of states at the Fermi level	1.400	states/eV per cell
energy relative to the elements, uncorrected	-0.838	eV per atom
theoretical density	8.158	g/cm3
volume	344	Å³/f.u.
energy	-0.20226	hartree per atom

=====

# 16
Material: Dy6Si3Ge
Method: DFT, PBE
State: optimized geometry

Cell lengths 6.0960, 8.0174, 10.6500 Å; angles 90.00, 89.90, 90.00 degrees
Each line ends with the local moment (μB).
Element x y z (fractional)
Dy 0.6311 0.1789 0.9227  0.06
Dy 0.6330 0.1756 0.5771  0.06
Dy 0.6348 0.4519 0.2485  0.10
Dy 0.3652 0.5481 0.7515  0.10
Dy 0.3670 0.8244 0.4229  0.06
Dy 0.3689 0.8211 0.0773  0.06
Dy 0.1311 0.3211 0.4227  0.06
Dy 0.1330 0.3244 0.0771  0.06
Dy 0.1348 0.0481 0.7485  0.10
Dy 0.8652 0.9519 0.2515  0.10
Dy 0.8670 0.6756 0.9229  0.06
Dy 0.8689 0.6789 0.5773  0.06
Si 0.5879 0.8864 0.7504  -0.01
Si 0.5000 0.5000 0.0000  -0.01
Si 0.4121 0.1136 0.2496  -0.01
Si 0.0879 0.6136 0.2504  -0.01
Si 0.0000 0.0000 0.5000  -0.01
Si 0.9121 0.3864 0.7496  -0.01
Ge 0.5000 0.5000 0.5000  -0.01
Ge 0.0000 0.0000 0.0000  -0.01

Results
density of states at the Fermi level	13.471	states/eV per cell
energy relative to the elements, uncorrected	-0.548	eV per atom
theoretical density	7.222	g/cm3
volume	260	Å³/f.u.
energy	-0.19836	hartree per atom

=====

# 17
Material: Dy2SiGe
Method: DFT, PBE
State: optimized geometry

Cell lengths 3.9004, 5.7305, 8.5717 Å; angles 111.99, 90.00, 90.00 degrees
Element x y z (fractional)
Dy 0.7500 0.2197 0.4323
Dy 0.2500 0.7803 0.5677
Dy 0.2500 0.7767 0.0716
Dy 0.7500 0.2233 0.9284
Si 0.7500 0.6609 0.2902
Si 0.2500 0.3391 0.7098
Ge 0.2500 0.3375 0.2097
Ge 0.7500 0.6625 0.7903

Results
density of states at the Fermi level	5.336	states/eV per cell
energy relative to the elements, uncorrected	-0.841	eV per atom
theoretical density	7.959	g/cm3
volume	89	Å³/f.u.
energy	-0.20773	hartree per atom

=====

# 18
Material: Dy5Si2Ge5
Method: DFT, PBE
State: optimized geometry

Cell lengths 4.0856, 7.5970, 8.9352 Å; angles 87.74, 76.78, 74.40 degrees
Element x y z (fractional)
Dy 0.0000 0.5000 0.5000
Dy 0.6846 0.7010 0.9298
Dy 0.3677 0.9253 0.3393
Dy 0.6323 0.0747 0.6607
Dy 0.3154 0.2990 0.0702
Si 0.3822 0.4769 0.7587
Si 0.6178 0.5231 0.2413
Ge 0.7202 0.2169 0.3427
Ge 0.9442 0.2995 0.8121
Ge 0.0558 0.7005 0.1879
Ge 0.2798 0.7831 0.6573
Ge 0.0000 0.0000 0.0000

Results
density of states at the Fermi level	5.292	states/eV per cell
energy relative to the elements, uncorrected	-0.698	eV per atom
theoretical density	7.868	g/cm3
volume	260	Å³/f.u.
energy	-0.20002	hartree per atom

=====

# 19
Material: Dy2SiGe
Method: DFT, PBE
State: optimized geometry

Cell lengths 4.2844, 3.9012, 5.7292 Å; angles 90.00, 111.96, 90.00 degrees
Element x y z (fractional)
Dy 0.8063 0.5000 0.6125
Dy 0.0848 0.0000 0.1695
Si 0.5277 0.5000 0.0554
Ge 0.3658 0.0000 0.7316

Results
density of states at the Fermi level	2.618	states/eV per cell
energy relative to the elements, uncorrected	-0.841	eV per atom
theoretical density	7.960	g/cm3
volume	89	Å³/f.u.
energy	-0.20771	hartree per atom

=====

# 20
Material: DySiGe2
Method: DFT, PBE
State: optimized geometry

Cell lengths 4.1629, 4.3181, 4.3181 Å; angles 90.00, 90.00, 90.00 degrees
Element x y z (fractional)
Ge 0.0000 0.0000 0.5000
Ge 0.0000 0.5000 0.0000
Si 0.5000 0.5000 0.5000
Dy 0.5000 0.0000 0.0000

Results
density of states at the Fermi level	1.639	states/eV per cell
energy relative to the elements, uncorrected	-0.309	eV per atom
theoretical density	7.185	g/cm3
volume	78	Å³/f.u.
energy	-0.18829	hartree per atom

=====

# 21
Material: DySiGe
Method: DFT, PBE
State: optimized geometry

Cell lengths 3.8525, 4.2862, 4.2862 Å; angles 120.00, 90.00, 90.00 degrees
Element x y z (fractional)
Ge 0.1667 0.6667 0.3333
Si 0.1667 0.0000 0.0000
Dy 0.6666 0.3333 0.6667

Results
distance to the lowest polymorph of the same formula	0.049	eV per atom
density of states at the Fermi level	2.269	states/eV per cell
energy relative to the elements, uncorrected	-0.459	eV per atom
theoretical density	7.131	g/cm3
volume	61	Å³/f.u.
energy	-0.19623	hartree per atom